A relaxed SrZr4N6 crystal. Source: Alexandria via LeMat-Bulk, functional PBE.

abc: 3.266 10.874 16.991
angles: 90.00 90.00 90.00
Space group Cmcm (No. 63)
Asymmetric unit:
Sr  0.000  0.153  0.250
Zr  0.000  0.102  0.638
Zr  0.000  0.368  0.547
N  0.000  0.000  0.000
N  0.000  0.173  0.750
N  0.000  0.264  0.080
N  0.000  0.474  0.651

Results
Energy relative to the elements, uncorrected (eV per atom): -1.4568